i.
Here is a relaxed structure of CoOsRh from Alexandria via LeMat-Bulk. Energies are from PBE.

Results
Spin magnetization, μB/cell: 2.0
D(E_F), states/eV/cell: 2.14
Space group: F-43m (216)

Unit cell a=4.0743 b=4.0743 c=4.0743 alpha=60.00 beta=60.00 gamma=60.00
Last column: nearest neighbours and their distance in Å.
Sites, in units of the cell vectors:
Co 0.0000 0.0000 0.0000  4 Os 2.49
Os 0.7500 0.7500 0.7500  4 Co 2.49, 4 Rh 2.49
Rh 0.5000 0.5000 0.5000  4 Os 2.49

---

ii.
Here is a relaxed structure of CoOsRh from Alexandria via LeMat-Bulk. Energies are from PBE.

Results
Spin magnetization, μB/cell: 0.9
D(E_F), states/eV/cell: 2.89
Space group: P-6m2 (187)

Unit cell a=4.1733 b=4.1733 c=2.6191 alpha=90.00 beta=90.00 gamma=120.00
Last column: nearest neighbours and their distance in Å.
Sites, in units of the cell vectors:
Co 0.0000 0.0000 0.0000  3 Rh 2.41, 2 Co 2.62
Os 0.3333 0.6667 0.5000  2 Os 2.62, 6 Co 2.74, 6 Rh 2.74
Rh 0.6667 0.3333 0.0000  3 Co 2.41, 2 Rh 2.62

---

iii.
Here is a relaxed structure of CoOsRh from Alexandria via LeMat-Bulk. Energies are from PBE.

Results
Spin magnetization, μB/cell: 1.3
D(E_F), states/eV/cell: 4.50
Space group: F-43m (216)

Unit cell a=3.9742 b=3.9742 c=3.9742 alpha=60.00 beta=60.00 gamma=60.00
Last column: nearest neighbours and their distance in Å.
Sites, in units of the cell vectors:
Co 0.0000 0.0000 0.0000  4 Os 2.43, 4 Rh 2.43
Os 0.2500 0.2500 0.2500  4 Co 2.43
Rh 0.7500 0.7500 0.7500  4 Co 2.43

---

Structures ranked by computed energy, the most stable listed first: ii, iii, i.

---

i.
Here is a relaxed structure of CoOsRh from Alexandria via LeMat-Bulk. Energies are from PBE.

Results
Spin magnetization, μB/cell: 1.3
D(E_F), states/eV/cell: 3.75
Space group: P3m1 (156)

Unit cell a=2.6753 b=2.6753 c=6.4304 alpha=90.00 beta=90.00 gamma=120.00
Last column: nearest neighbours and their distance in Å.
Sites, in units of the cell vectors:
Co 0.0000 0.0000 0.0000  3 Os 2.55, 3 Rh 2.64, 6 Co 2.68
Os 0.6667 0.3333 0.3155  3 Co 2.55, 6 Os 2.68, 3 Rh 2.73
Rh 0.3333 0.6667 0.6664  3 Co 2.64, 6 Rh 2.68, 3 Os 2.73

---

ii.
Here is a relaxed structure of CoOsRh from Alexandria via LeMat-Bulk. Energies are from PBE.

Results
Spin magnetization, μB/cell: 2.3
D(E_F), states/eV/cell: 7.00
Space group: P4/nmm (129)

Unit cell a=2.6854 b=2.6854 c=10.9230 alpha=90.00 beta=90.00 gamma=90.00
Last column: nearest neighbours and their distance in Å.
Sites, in units of the cell vectors:
Co 0.2500 0.2500 0.0741  8 Co 2.50-2.69, 4 Os 2.56
Co 0.7500 0.7500 0.9259  8 Co 2.50-2.69, 4 Os 2.56
Os 0.2500 0.2500 0.7681  4 Co 2.56, 4 Os 2.69, 4 Rh 2.69
Os 0.7500 0.7500 0.2319  4 Co 2.56, 4 Os 2.69, 4 Rh 2.69
Rh 0.2500 0.2500 0.4059  8 Rh 2.69-2.80, 4 Os 2.69
Rh 0.7500 0.7500 0.5941  8 Rh 2.69-2.80, 4 Os 2.69

---

iii.
Here is a relaxed structure of CoOsRh from Alexandria via LeMat-Bulk. Energies are from PBE.

Results
Spin magnetization, μB/cell: 0.0
D(E_F), states/eV/cell: 2.85
Space group: Imm2 (44)

Unit cell a=4.5773 b=4.5773 c=4.5773 alpha=146.17 beta=132.46 gamma=59.62
Last column: nearest neighbours and their distance in Å.
Sites, in units of the cell vectors:
Co 0.0000 0.0000 0.0000  5 Os 2.58-2.76, 5 Rh 2.60-2.66, 2 Co 2.66
Os 0.6525 0.6525 0.0000  5 Co 2.58-2.76, 5 Rh 2.59-2.66, 2 Os 2.66
Rh 0.3270 0.3270 0.0000  5 Os 2.59-2.66, 5 Co 2.60-2.66, 2 Rh 2.66

---

iv.
Here is a relaxed structure of CoOsRh from Alexandria via LeMat-Bulk. Energies are from PBE.

Results
Spin magnetization, μB/cell: 0.8
D(E_F), states/eV/cell: 3.74
Space group: I4mm (107)

Unit cell a=5.7916 b=5.7916 c=5.7916 alpha=153.23 beta=153.23 gamma=38.22
Last column: nearest neighbours and their distance in Å.
Sites, in units of the cell vectors:
Co 0.0000 0.0000 0.0000  4 Os 2.54, 4 Rh 2.66, 4 Co 2.68
Os 0.3457 0.3457 0.0000  4 Co 2.54, 4 Os 2.68, 4 Rh 2.70
Rh 0.6704 0.6704 0.0000  4 Co 2.66, 4 Rh 2.68, 4 Os 2.70

---

Structures ranked by computed energy, the most stable listed first: iii, ii, iv, i.

---

i.
Here is a relaxed structure of Co2OsRu from Alexandria via LeMat-Bulk. Energies are from PBE.

Results
Spin magnetization, μB/cell: 2.9
D(E_F), states/eV/cell: 5.01
Space group: R3m (160)

Unit cell a=8.5091 b=8.5091 c=8.5091 alpha=18.00 beta=18.00 gamma=18.00
Last column: nearest neighbours and their distance in Å.
Sites, in units of the cell vectors:
Co 0.0000 0.0000 0.0000  9 Co 2.47-2.66, 3 Os 2.63
Co 0.2563 0.2563 0.2563  9 Co 2.47-2.66, 3 Ru 2.63
Os 0.7514 0.7514 0.7514  3 Co 2.63, 3 Ru 2.66, 6 Os 2.66
Ru 0.5047 0.5047 0.5047  3 Co 2.63, 3 Os 2.66, 6 Ru 2.66

---

ii.
Here is a relaxed structure of Co2OsRu from Alexandria via LeMat-Bulk. Energies are from PBE.

Results
Spin magnetization, μB/cell: 4.2
D(E_F), states/eV/cell: 6.98
Space group: F-43m (216)

Unit cell a=4.1905 b=4.1905 c=4.1905 alpha=60.00 beta=60.00 gamma=60.00
Last column: nearest neighbours and their distance in Å.
Sites, in units of the cell vectors:
Co 0.0000 0.0000 0.0000  4 Os 2.57, 4 Co 2.57
Co 0.2500 0.2500 0.2500  4 Co 2.57, 4 Ru 2.57
Os 0.7500 0.7500 0.7500  4 Co 2.57, 4 Ru 2.57
Ru 0.5000 0.5000 0.5000  4 Os 2.57, 4 Co 2.57

---

Structures ranked by computed energy, the most stable listed first: i, ii.

---

i.
Here is a relaxed structure of CoOsRu2 from Alexandria via LeMat-Bulk. Energies are from PBE.

Results
Spin magnetization, μB/cell: 0.0
D(E_F), states/eV/cell: 4.51
Space group: Cm (8)

Unit cell a=4.5847 b=4.5847 c=4.6119 alpha=99.44 beta=99.44 gamma=33.82
Last column: nearest neighbours and their distance in Å.
Sites, in units of the cell vectors:
Co 0.0000 0.0000 0.0000  7 Ru 2.63-2.68, 3 Os 2.63-2.64, 2 Co 2.67
Os 0.2523 0.2523 0.7603  7 Ru 2.60-2.72, 3 Co 2.63-2.64, 2 Os 2.67
Ru 0.5014 0.5014 0.5034  4 Co 2.65-2.68, 3 Os 2.66-2.67, 5 Ru 2.67
Ru 0.7509 0.7509 0.2447  4 Os 2.60-2.72, 3 Co 2.63-2.65, 5 Ru 2.67

---

ii.
Here is a relaxed structure of CoOsRu2 from Alexandria via LeMat-Bulk. Energies are from PBE.

Results
Spin magnetization, μB/cell: 1.3
D(E_F), states/eV/cell: 5.50
Space group: Immm (71)

Unit cell a=5.1685 b=5.1685 c=5.1685 alpha=149.08 beta=130.30 gamma=59.69
Last column: nearest neighbours and their distance in Å.
Sites, in units of the cell vectors:
Co 0.0000 0.0000 0.0000  4 Ru 2.44, 4 Os 2.57
Os 0.5000 0.5000 0.0000  4 Co 2.57, 2 Os 2.76, 4 Ru 2.82
Ru 0.2250 0.7250 0.5000  2 Co 2.44, 4 Ru 2.61
Ru 0.7750 0.2750 0.5000  2 Co 2.44, 4 Ru 2.61

---

Structures ranked by computed energy, the most stable listed first: i, ii.

---

i.
Here is a relaxed structure of CoOsRu2 from Alexandria via LeMat-Bulk. Energies are from PBE.

Results
Spin magnetization, μB/cell: 1.2
D(E_F), states/eV/cell: 5.40
Space group: Imm2 (44)

Unit cell a=5.2382 b=5.2382 c=5.2382 alpha=149.72 beta=131.11 gamma=58.60
Last column: nearest neighbours and their distance in Å.
Sites, in units of the cell vectors:
Co 0.0000 0.0000 0.0000  2 Os 2.43, 6 Ru 2.45-2.56
Os 0.2192 0.7192 0.5000  2 Co 2.43, 4 Ru 2.62
Ru 0.4917 0.4917 0.0000  4 Co 2.56, 2 Ru 2.74, 2 Os 2.84
Ru 0.7777 0.2777 0.5000  2 Co 2.45, 4 Os 2.62, 2 Ru 2.74

---

ii.
Here is a relaxed structure of CoOsRu2 from Alexandria via LeMat-Bulk. Energies are from PBE.

Results
Spin magnetization, μB/cell: 0.0
D(E_F), states/eV/cell: 4.32
Space group: Cmmm (65)

Unit cell a=4.5946 b=4.5946 c=2.6752 alpha=90.00 beta=90.00 gamma=109.41
Last column: nearest neighbours and their distance in Å.
Sites, in units of the cell vectors:
Co 0.0000 0.0000 0.0000  2 Os 2.65, 8 Ru 2.66, 2 Co 2.68
Os 0.5000 0.5000 0.0000  2 Co 2.65, 8 Ru 2.66, 2 Os 2.68
Ru 0.0000 0.5000 0.5000  4 Ru 2.65-2.68, 4 Co 2.66, 4 Os 2.66
Ru 0.5000 0.0000 0.5000  4 Ru 2.65-2.68, 4 Co 2.66, 4 Os 2.66

---

Structures ranked by computed energy, the most stable listed first: ii, i.

---

i.
Here is a relaxed structure of CoOsRu2 from Alexandria via LeMat-Bulk. Energies are from PBE.

Results
Spin magnetization, μB/cell: 0.4
D(E_F), states/eV/cell: 4.79
Space group: C2/m (12)

Unit cell a=4.5950 b=4.5950 c=4.5918 alpha=99.34 beta=99.34 gamma=33.74
Last column: nearest neighbours and their distance in Å.
Sites, in units of the cell vectors:
Co 0.0000 0.0000 0.0000  6 Ru 2.63-2.65, 4 Os 2.66, 2 Co 2.67
Os 0.5000 0.5000 0.5000  4 Co 2.66, 6 Ru 2.66-2.67, 2 Os 2.67
Ru 0.2500 0.2500 0.7557  6 Ru 2.61-2.70, 3 Co 2.63-2.65, 3 Os 2.66-2.67
Ru 0.7500 0.7500 0.2443  6 Ru 2.61-2.70, 3 Co 2.63-2.65, 3 Os 2.66-2.67

---

ii.
Here is a relaxed structure of CoOsRu2 from Alexandria via LeMat-Bulk. Energies are from PBE.

Results
Spin magnetization, μB/cell: 1.5
D(E_F), states/eV/cell: 3.93
Space group: R-3m (166)

Unit cell a=8.7345 b=8.7345 c=8.7345 alpha=17.75 beta=17.75 gamma=17.75
Last column: nearest neighbours and their distance in Å.
Sites, in units of the cell vectors:
Co 0.0000 0.0000 0.0000  6 Ru 2.62, 6 Co 2.70
Os 0.5000 0.5000 0.5000  6 Ru 2.69, 6 Os 2.70
Ru 0.2516 0.2516 0.2516  3 Co 2.62, 3 Os 2.69, 6 Ru 2.70
Ru 0.7484 0.7484 0.7484  3 Co 2.62, 3 Os 2.69, 6 Ru 2.70

---

iii.
Here is a relaxed structure of CoOsRu2 from Alexandria via LeMat-Bulk. Energies are from PBE.

Results
Spin magnetization, μB/cell: 0.0
D(E_F), states/eV/cell: 4.69
Space group: P2/m (10)

Unit cell a=4.6010 b=2.6569 c=4.6157 alpha=90.00 beta=109.73 gamma=90.00
Last column: nearest neighbours and their distance in Å.
Sites, in units of the cell vectors:
Co 0.0000 0.0000 0.0000  6 Ru 2.65-2.66, 4 Os 2.66, 2 Co 2.66
Os 0.5000 0.5000 0.0000  6 Ru 2.65-2.66, 4 Co 2.66, 2 Os 2.66
Ru 0.0000 0.5000 0.5000  2 Os 2.65, 6 Ru 2.66, 4 Co 2.66
Ru 0.5000 0.0000 0.5000  2 Co 2.65, 6 Ru 2.66, 4 Os 2.66

---

iv.
Here is a relaxed structure of CoOsRu2 from Alexandria via LeMat-Bulk. Energies are from PBE.

Results
Spin magnetization, μB/cell: 0.0
D(E_F), states/eV/cell: 4.13
Space group: Pmm2 (25)

Unit cell a=2.6670 b=3.7603 c=5.2796 alpha=90.00 beta=90.00 gamma=90.00
Last column: nearest neighbours and their distance in Å.
Sites, in units of the cell vectors:
Co 0.0000 0.0000 0.0000  6 Ru 2.63-2.65, 4 Os 2.63, 2 Co 2.67
Os 0.5000 0.5000 0.2382  6 Ru 2.54-2.73, 4 Co 2.63, 2 Os 2.67
Ru 0.0000 0.0000 0.4973  2 Co 2.63-2.65, 6 Ru 2.67-2.68, 4 Os 2.68
Ru 0.5000 0.5000 0.7563  2 Os 2.54-2.73, 4 Co 2.64, 6 Ru 2.67-2.68

---

Structures ranked by computed energy, the most stable listed first: iv, i, iii, ii.